Below is crystalline Ni2PdRh2 at its relaxed geometry, with properties calculated at the PBE level. Values from VASP.

formation enthalpy at 0 K = 0.164 eV/atom
calculated total energy = -6.1276 eV/atom
energy above the most stable polymorph in this dataset = 16.0 meV/atom

Cell and atoms, written as Quantum ESPRESSO input:
```
&SYSTEM
  ibrav = 0, nat = 10, ntyp = 3
/
ATOMIC_SPECIES
Rh 102.91 Rh.upf
Ni 58.69 Ni.upf
Pd 106.42 Pd.upf
CELL_PARAMETERS angstrom
-2.7735 -0.1658 -6.5226
-5.9343 -2.8819 2.5966
-1.0444 2.4937 0.3807
ATOMIC_POSITIONS crystal
Rh 0.6745 0.8255 0.5000
Rh 0.3255 0.1745 0.5000
Rh 0.8255 0.3255 0.5000
Rh 0.1745 0.6745 0.5000
Ni 0.3792 0.8792 0.0000
Ni 0.6208 0.1208 0.0000
Ni 0.8792 0.6208 0.0000
Ni 0.1208 0.3792 0.0000
Pd 0.5000 0.5000 0.0000
Pd 0.0000 0.0000 0.0000
```

=====

Below is crystalline NiPdRh at its relaxed geometry, with properties calculated at the PBE level. Values from VASP.

formation enthalpy at 0 K = 0.198 eV/atom
calculated total energy = -5.9103 eV/atom
energy above the most stable polymorph in this dataset = 141.6 meV/atom

Cell and atoms, written as Quantum ESPRESSO input:
```
&SYSTEM
  ibrav = 0, nat = 18, ntyp = 3
/
ATOMIC_SPECIES
Pd 106.42 Pd.upf
Ni 58.69 Ni.upf
Rh 102.91 Rh.upf
CELL_PARAMETERS angstrom
-5.3889 1.3347 3.3354
-5.6463 -4.4401 -1.0577
-1.8120 -4.6905 5.2374
ATOMIC_POSITIONS crystal
Pd 0.2811 0.9357 0.4357
Pd 0.2781 0.4832 0.9832
Pd 0.8351 0.7372 0.2372
Pd 0.8096 0.2628 0.7628
Pd 0.6525 0.0643 0.5643
Pd 0.7444 0.5168 0.0168
Ni 0.3047 0.6866 0.1866
Ni 0.5904 0.6824 0.6625
Ni 0.5904 0.1625 0.1824
Ni 0.9353 0.3176 0.3375
Ni 0.1779 0.3134 0.8134
Ni 0.9353 0.8375 0.8176
Rh 0.4974 0.0000 0.0000
Rh 0.0074 0.6774 0.5550
Rh 0.4974 0.5000 0.5000
Rh 0.0074 0.0550 0.1774
Rh 0.2399 0.3226 0.4450
Rh 0.2399 0.9450 0.8226
```

=====

Below is crystalline Ni5Pd2Rh2 at its relaxed geometry, with properties calculated at the PBE level. Values from VASP.

formation enthalpy at 0 K = 0.048 eV/atom
calculated total energy = -5.9518 eV/atom

Cell and atoms, written as Quantum ESPRESSO input:
```
&SYSTEM
  ibrav = 0, nat = 9, ntyp = 3
/
ATOMIC_SPECIES
Ni 58.69 Ni.upf
Rh 102.91 Rh.upf
Pd 106.42 Pd.upf
CELL_PARAMETERS angstrom
-3.5198 2.7006 0.9657
-3.1247 -1.7801 -2.7857
-2.6269 -8.2896 -0.3937
ATOMIC_POSITIONS crystal
Ni 0.3334 0.6672 0.6701
Ni 0.1029 0.2277 0.2141
Ni 0.8971 0.7723 0.7859
Ni 0.6666 0.3328 0.3299
Ni 0.0000 0.0000 0.0000
Rh 0.5407 0.1242 0.1031
Rh 0.4593 0.8758 0.8969
Pd 0.2241 0.4355 0.4392
Pd 0.7759 0.5645 0.5608
```

=====

Below is crystalline Ni3PdRh at its relaxed geometry, with properties calculated at the PBE level. Values from VASP.

formation enthalpy at 0 K = 1.242 eV/atom
calculated total energy = -4.7360 eV/atom
energy above the most stable polymorph in this dataset = 1193.6 meV/atom

Cell and atoms, written as Quantum ESPRESSO input:
```
&SYSTEM
  ibrav = 0, nat = 5, ntyp = 3
/
ATOMIC_SPECIES
Ni 58.69 Ni.upf
Pd 106.42 Pd.upf
Rh 102.91 Rh.upf
CELL_PARAMETERS angstrom
4.4718 0.0000 0.0000
0.0000 4.4718 0.0000
0.0000 0.0000 4.4718
ATOMIC_POSITIONS crystal
Ni 0.0000 0.0000 0.5000
Ni 0.5000 0.0000 0.0000
Ni 0.0000 0.5000 0.0000
Pd 0.5000 0.5000 0.5000
Rh 0.0000 0.0000 0.0000
```

=====

Below is crystalline Ni4Pd3Rh at its relaxed geometry, with properties calculated at the PBE level. Values from VASP.

formation enthalpy at 0 K = 0.053 eV/atom
calculated total energy = -5.7039 eV/atom
energy above the most stable polymorph in this dataset = 0.0 meV/atom

Cell and atoms, written as Quantum ESPRESSO input:
```
&SYSTEM
  ibrav = 0, nat = 8, ntyp = 3
/
ATOMIC_SPECIES
Pd 106.42 Pd.upf
Ni 58.69 Ni.upf
Rh 102.91 Rh.upf
CELL_PARAMETERS angstrom
3.6838 0.0000 -0.9944
-0.2636 3.6791 -0.9767
0.1135 0.0849 7.7411
ATOMIC_POSITIONS crystal
Pd 0.0000 0.5000 0.0000
Pd 0.7509 0.2509 0.5018
Pd 0.2491 0.7491 0.4982
Ni 0.8770 0.8768 0.7540
Ni 0.6230 0.6233 0.2460
Ni 0.3770 0.3767 0.7540
Ni 0.1230 0.1232 0.2460
Rh 0.5000 0.0000 0.0000
```

=====

Below is crystalline Ni2Pd6Rh at its relaxed geometry, with properties calculated at the PBE level. Values from VASP.

formation enthalpy at 0 K = 0.218 eV/atom
calculated total energy = -5.3459 eV/atom

Cell and atoms, written as Quantum ESPRESSO input:
```
&SYSTEM
  ibrav = 0, nat = 18, ntyp = 3
/
ATOMIC_SPECIES
Pd 106.42 Pd.upf
Ni 58.69 Ni.upf
Rh 102.91 Rh.upf
CELL_PARAMETERS angstrom
-1.1884 -4.3983 2.5718
-2.5922 -2.3323 -5.1866
9.4173 -1.4920 1.8000
ATOMIC_POSITIONS crystal
Pd 0.7532 0.7488 0.8910
Pd 0.7468 0.2488 0.3910
Pd 0.4997 0.2485 0.6559
Pd 0.5003 0.7515 0.3441
Pd 0.2474 0.7490 0.8909
Pd 0.9997 0.2515 0.8441
Pd 0.7526 0.2510 0.1091
Pd 0.2526 0.2490 0.3909
Pd 0.0003 0.7485 0.1559
Pd 0.2532 0.7512 0.6090
Pd 0.7474 0.7510 0.6091
Pd 0.2468 0.2512 0.1090
Ni 0.5003 0.0634 0.8432
Ni 0.9997 0.5634 0.3432
Ni 0.0003 0.4366 0.6568
Ni 0.4997 0.9366 0.1568
Rh 0.5000 0.5000 0.0000
Rh 0.0000 0.0000 0.5000
```

=====

Below is crystalline Ni2PdRh at its relaxed geometry, with properties calculated at the PBE level. Values from VASP.

formation enthalpy at 0 K = 0.035 eV/atom
calculated total energy = -5.9919 eV/atom

Cell and atoms, written as Quantum ESPRESSO input:
```
&SYSTEM
  ibrav = 0, nat = 4, ntyp = 3
/
ATOMIC_SPECIES
Pd 106.42 Pd.upf
Ni 58.69 Ni.upf
Rh 102.91 Rh.upf
CELL_PARAMETERS angstrom
-0.7235 2.5752 -0.1062
-1.4179 -0.3056 2.2500
5.8758 1.8138 3.9491
ATOMIC_POSITIONS crystal
Pd 0.5000 0.5000 0.0000
Ni 0.0000 0.0000 0.2562
Ni 0.0000 0.0000 0.7438
Rh 0.5000 0.5000 0.5000
```

=====

Below is crystalline Ni6PdRh3 at its relaxed geometry, with properties calculated at the PBE level. Values from VASP.

formation enthalpy at 0 K = 0.263 eV/atom
calculated total energy = -5.9308 eV/atom

Cell and atoms, written as Quantum ESPRESSO input:
```
&SYSTEM
  ibrav = 0, nat = 10, ntyp = 3
/
ATOMIC_SPECIES
Rh 102.91 Rh.upf
Ni 58.69 Ni.upf
Pd 106.42 Pd.upf
CELL_PARAMETERS angstrom
7.2060 -0.8172 -0.5773
2.4946 4.2167 0.0731
2.4946 1.4781 3.9499
ATOMIC_POSITIONS crystal
Rh 0.7103 0.9147 0.9147
Rh 0.0000 0.0000 0.0000
Rh 0.2897 0.0853 0.0853
Ni 0.0728 0.6336 0.6336
Ni 0.6826 0.4362 0.9227
Ni 0.3174 0.0773 0.5638
Ni 0.9272 0.3664 0.3664
Ni 0.3174 0.5638 0.0773
Ni 0.6826 0.9227 0.4362
Pd 0.5000 0.5000 0.5000
```

=====

Which formula does entry 8 have? Ni6PdRh3